Record 1
This record from the Alexandria database describes a crystal of ScMoOs relaxed with PBEsol. The functional is SCAN.

Unit cell a=2.837 b=4.379 c=4.379 alpha=120.00 beta=90.00 gamma=90.00
Atoms (fractional coordinates):
Os 0.688 0.333 0.667
Mo 0.986 0.000 0.000
Sc 0.327 0.667 0.333

Results
- E_form: -0.113 eV per atom

---

Record 2
This record from the Alexandria database describes a crystal of SrSc2MoOs relaxed with PBEsol. The functional is SCAN.

Unit cell a=4.790 b=4.790 c=5.169 alpha=90.00 beta=90.00 gamma=90.00
Each line ends with the local moment (μB).
Atoms (fractional coordinates):
Mo 0.000 0.000 0.000  0.08
Sc 0.000 0.500 0.000  -0.07
Sc 0.500 0.000 0.000  -0.07
Sr 0.000 0.000 0.500  -0.02
Os 0.500 0.500 0.500  1.18

Results
- E_form: 1.468 eV per atom

---

Record 3
This record from the Alexandria database describes a crystal of Mo2OsSe relaxed with PBEsol. The functional is SCAN.

Unit cell a=3.036 b=4.405 c=4.474 alpha=90.00 beta=90.00 gamma=90.00
Atoms (fractional coordinates):
Mo 0.500 0.500 0.000
Mo 0.000 0.000 0.000
Se 0.000 0.500 0.500
Os 0.500 0.000 0.500

Results
- Uncorrected formation energy: 0.4481 eV/atom

---

Record 4
This record from the Alexandria database describes a crystal of MoOsSe2 relaxed with PBEsol. The functional is SCAN.

Unit cell a=3.978 b=3.978 c=4.252 alpha=90.00 beta=90.00 gamma=99.29
Atoms (fractional coordinates):
Mo 0.500 0.500 0.500
Os 0.000 0.000 0.500
Se 0.249 0.751 0.000
Se 0.751 0.249 0.000

Results
- Uncorrected formation energy: 0.7725 eV/atom

---

no.,total magnetic moment (Bohr magnetons per cell),final energy (eV/atom)
1,0.0,-40.447
2,1.1,-30.035
3,0.0,-39.984
4,0.0,-35.958